# La2ReAs (GGA-PBE, optimized geometry)
# **Density of states at the Fermi level**: 14.538 states/eV/cell
# **Calculated volume**: 112 Å³/f.u.
# **Crystal system**: trigonal
# **Electronic total energy**: -81.0 eV for the cell shown
# **Energy of formation from the pure elements**: -0.0150 eV per atom
data_La2ReAs
_chemical_formula_sum 'La6 Re3 As3'
_cell_length_a 4.0774
_cell_length_b 4.0774
_cell_length_c 23.3296
_cell_angle_alpha 90.00
_cell_angle_beta 90.00
_cell_angle_gamma 120.00
_space_group_name_H-M_alt 'R -3 m'
_space_group_IT_number 166
_space_group_name_Hall '-R 3 2"'
loop_
_atom_site_label
_atom_site_fract_x
_atom_site_fract_y
_atom_site_fract_z
La1 0.0000 0.0000 0.2485
Re1 0.0000 0.0000 0.0000
As1 0.0000 0.0000 0.5000

# LaRe2As2 (GGA-PBE, optimized geometry)
# **Density of states at the Fermi level**: 17.456 states/eV/cell
# **Calculated volume**: 94 Å³/f.u.
# **Crystal system**: tetragonal
# **Electronic total energy**: -76.3 eV for the cell shown
# **Energy above the lowest structure with this stoichiometry**: 0.498 eV per atom
# **Energy of formation from the pure elements**: 0.1958 eV per atom
data_LaRe2As2
_chemical_formula_sum 'La2 Re4 As4'
_cell_length_a 7.810
_cell_length_b 7.810
_cell_length_c 3.087
_cell_angle_alpha 90.00
_cell_angle_beta 90.00
_cell_angle_gamma 90.00
_space_group_name_H-M_alt 'P 4/m b m'
_space_group_IT_number 127
_space_group_name_Hall '-P 4 2ab'
loop_
_atom_site_label
_atom_site_fract_x
_atom_site_fract_y
_atom_site_fract_z
La1 0.000 0.000 0.000
Re1 0.120 0.380 0.500
As1 0.148 0.648 0.000